# 1
Density functional theory data (PBEsol) for an optimized crystal structure of TeAsCSe2.

**Uncorrected formation energy**: 2.183 eV/atom
**Fermi-level density of states**: 6.6 states/eV/cell
**Symmetry**: P4/mmm, No. 123

```
TeAsCSe2
1.0
5.242 0.000 0.000
0.000 5.242 0.000
0.000 0.000 5.357
Se Te C As
2 1 1 1
Cartesian
0.000 2.621 0.000
2.621 0.000 0.000
0.000 0.000 0.000
2.621 2.621 2.678
0.000 0.000 2.678
```

---

# 2
Density functional theory data (PBEsol) for an optimized crystal structure of TaAuS2N.

**Uncorrected formation energy**: 1.299 eV/atom
**Fermi-level density of states**: 4.5 states/eV/cell
**Symmetry**: P4/mmm, No. 123

```
TaAuS2N
1.0
3.754 0.000 0.000
0.000 4.777 0.000
0.000 0.000 4.777
Ta S N Au
1 2 1 1
Cartesian
1.877 2.389 2.389
0.000 0.000 2.389
0.000 2.389 0.000
1.877 0.000 0.000
0.000 0.000 0.000
```

---

# 3
Density functional theory data (PBEsol) for an optimized crystal structure of BaReAs2.

**Fermi-level density of states**: 3.2 states/eV/cell
**Formation energy from the elements**: -0.114 eV/atom
**Symmetry**: P4/mmm, No. 123

```
BaReAs2
1.0
3.213 0.000 0.000
0.000 3.213 0.000
0.000 0.000 7.735
Re As Ba
1 2 1
Cartesian
1.606 1.606 3.867
0.000 0.000 5.304
0.000 0.000 2.431
1.606 1.606 0.000
```

---

# 4
Density functional theory data (PBEsol) for an optimized crystal structure of PrTiGe.

**Fermi-level density of states**: 8.2 states/eV/cell
**Formation energy from the elements**: -0.648 eV/atom
**Symmetry**: P4/nmm, No. 129

```
PrTiGe
1.0
4.104 0.000 0.000
0.000 4.104 0.000
0.000 0.000 7.793
Ge Pr Ti
2 2 2
Cartesian
2.052 0.000 1.735
0.000 2.052 6.058
2.052 0.000 5.073
0.000 2.052 2.720
2.052 2.052 0.000
0.000 0.000 0.000
```

---

# 5
Density functional theory data (PBEsol) for an optimized crystal structure of YZn2Os.

**Fermi-level density of states**: 3.0 states/eV/cell
**Formation energy from the elements**: 0.318 eV/atom
**Symmetry**: R-3m, No. 166

```
YZn2Os
1.0
-2.323 1.363 -0.957
-1.328 -0.921 -2.357
-6.658 -5.440 4.143
Zn Y Os
2 1 1
Cartesian
-7.570 -3.582 0.467
-2.738 -1.414 0.362
0.000 0.000 0.000
-5.154 -2.498 0.415
```

---

# 6
Density functional theory data (PBEsol) for an optimized crystal structure of MnZnInCu2.

**Fermi-level density of states**: 2.2 states/eV/cell
**Formation energy from the elements**: 1.160 eV/atom
**Symmetry**: P4/mmm, No. 123

```
MnZnInCu2
1.0
-1.636 4.245 1.266
-2.213 0.386 -4.154
-3.878 -2.054 1.875
Cu In Zn Mn
2 1 1 1
Cartesian
-1.107 0.193 -2.077
-0.818 2.123 0.633
0.000 0.000 0.000
-1.939 -1.027 0.937
-3.864 1.289 -0.506
```

---

# 7
Density functional theory data (PBEsol) for an optimized crystal structure of TlZnI2.

**Uncorrected formation energy**: -0.103 eV/atom
**Fermi-level density of states**: 2.7 states/eV/cell
**Symmetry**: Fm-3m, No. 225

```
TlZnI2
1.0
-3.801 -3.930 -0.956
1.201 -4.269 -3.338
0.669 -5.083 2.127
Tl I Zn
1 2 1
Cartesian
-0.966 -6.641 -1.083
-1.449 -9.962 -1.625
-0.483 -3.321 -0.542
0.000 0.000 0.000
```

---

# 8
Density functional theory data (PBEsol) for an optimized crystal structure of Zr2SiBr.

**Uncorrected formation energy**: -0.524 eV/atom
**Fermi-level density of states**: 3.1 states/eV/cell
**Symmetry**: Fm-3m, No. 225

```
Zr2SiBr
1.0
-3.730 0.700 2.805
-4.161 -1.949 -1.077
-1.689 -3.551 2.610
Zr Br Si
2 1 1
Cartesian
-2.395 -1.200 1.084
-7.184 -3.600 3.253
-4.790 -2.400 2.169
0.000 0.000 0.000
```

---

# 9
Density functional theory data (PBEsol) for an optimized crystal structure of Tm3Ga2Ge3.

**Fermi-level density of states**: 7.0 states/eV/cell
**Formation energy from the elements**: -0.757 eV/atom
**Symmetry**: I4cm, No. 108

```
Tm3Ga2Ge3
1.0
-1.763 7.172 -1.802
-1.697 -5.618 -4.832
-3.803 -3.526 5.559
Ge Ga Tm
6 4 6
Cartesian
-3.081 -0.642 -1.645
-5.446 -9.053 0.719
-2.458 -1.260 -4.715
-2.489 -0.673 2.441
-5.156 0.864 1.591
-2.696 -4.481 0.356
-4.740 -1.396 -3.490
-2.211 -2.853 -2.684
-4.234 -1.372 0.654
-4.824 -0.786 3.565
-3.198 1.588 -3.778
-2.460 1.461 0.209
-4.078 -6.779 0.538
-4.835 -3.484 -1.280
-1.328 -2.207 0.175
-4.097 -3.611 2.707
```

---

# 10
Density functional theory data (PBEsol) for an optimized crystal structure of Ba2SrAg.

**Fermi-level density of states**: 4.6 states/eV/cell
**Formation energy from the elements**: -0.036 eV/atom
**Symmetry**: R3m, No. 160

```
Ba2SrAg
1.0
4.522 0.000 0.000
2.261 3.916 0.000
2.261 1.305 10.984
Ba Sr Ag
2 1 1
Cartesian
6.783 3.916 8.138
6.783 3.916 0.904
4.522 2.611 4.591
2.261 1.305 2.844
```

---

# 11
Density functional theory data (PBEsol) for an optimized crystal structure of Li2Mn2Si2O9.

**Uncorrected formation energy**: -2.206 eV/atom
**Symmetry**: Pbcn, No. 60

```
Li2Mn2Si2O9
1.0
-2.869 -1.339 3.790
-1.254 -7.414 -3.568
10.842 -4.944 6.462
Si Mn O Li
8 8 36 8
Cartesian
1.658 -9.640 3.084
7.676 -10.565 6.498
3.326 -7.593 1.852
8.878 -11.273 3.940
3.393 -6.103 4.831
-0.957 -3.131 0.186
5.061 -4.056 3.599
-2.159 -2.423 2.744
0.926 -3.920 4.775
4.592 -9.064 4.468
2.127 -4.632 2.215
5.793 -9.776 1.909
0.042 -6.186 0.088
8.346 -5.459 5.366
-1.627 -8.237 1.318
6.677 -7.510 6.596
6.075 -8.082 4.950
-2.348 -8.723 -0.374
8.101 -10.230 4.949
2.977 -10.200 3.913
2.516 -3.028 5.319
6.525 -11.739 6.439
4.628 -8.252 2.634
1.131 -3.314 3.082
4.203 -10.668 1.364
-0.620 -6.877 -1.726
0.194 -1.957 0.244
8.558 -7.428 5.900
3.742 -3.496 2.770
6.712 -5.712 6.102
0.007 -7.984 0.582
3.384 -7.698 5.011
3.450 -5.440 6.336
3.269 -8.257 0.347
2.378 -3.750 0.656
7.017 -9.282 7.201
5.588 -10.382 3.601
3.335 -5.998 1.673
7.340 -6.819 8.410
0.644 -5.614 1.733
1.977 -8.086 2.646
-1.839 -6.268 0.784
4.742 -5.610 4.037
4.341 -9.946 6.028
5.268 -5.044 8.629
-1.382 -3.466 1.735
2.091 -5.444 4.050
1.628 -6.211 -0.781
9.067 -4.973 7.058
-0.297 -4.414 -0.517
2.705 -1.238 1.622
5.091 -7.486 7.465
-1.295 -5.376 2.585
1.483 -9.312 0.080
8.014 -8.320 4.099
6.038 -12.188 4.455
5.236 -4.384 6.604
0.590 -6.783 3.514
6.129 -6.913 3.170
0.681 -1.508 2.229
```

---

# 12
Density functional theory data (PBEsol) for an optimized crystal structure of BaLaNi.

**Fermi-level density of states**: 2.2 states/eV/cell
**Formation energy from the elements**: 0.157 eV/atom
**Symmetry**: F-43m, No. 216

```
BaLaNi
1.0
5.022 0.000 0.000
2.511 4.349 0.000
2.511 1.450 4.101
Ni Ba La
1 1 1
Cartesian
2.511 1.450 1.025
0.000 0.000 0.000
5.022 2.900 2.050
```

---

| no. | total energy (eV for the cell shown) |
| --- | --- |
| 1 | -15.1 |
| 2 | -27.3 |
| 3 | -26.1 |
| 4 | -40.8 |
| 5 | -20.9 |
| 6 | -17.2 |
| 7 | -8.2 |
| 8 | -27.9 |
| 9 | -84.5 |
| 10 | -9.6 |
| 11 | -461.1 |
| 12 | -13.2 |